(1)
CsNpAg2Te4 | PBE-GGA | relaxed

Computed properties:
E_form (uncorrected) = -0.27 eV/atom

a b c (Å): 6.527 7.447 7.447
angles (deg): 73.87 64.01 64.01
Element x y z (fractional)
Cs (0.000, 0.000, 0.000)
Np (0.500, 0.500, 0.500)
Ag (0.147, 0.353, 0.353)
Ag (0.853, 0.647, 0.647)
Te (0.496, 0.097, 0.520)
Te (0.113, 0.903, 0.480)
Te (0.887, 0.520, 0.097)
Te (0.504, 0.480, 0.903)

---

(2)
CsNp2AgTe4 | PBE-GGA | relaxed

Computed properties:
E_form (uncorrected) = -0.67 eV/atom

a b c (Å): 4.571 8.152 15.878
angles (deg): 90.00 90.00 106.28
Element x y z (fractional)
Cs (0.118, 0.236, 0.750)
Cs (0.882, 0.764, 0.250)
Np (0.370, 0.741, 0.564)
Np (0.630, 0.259, 0.064)
Np (0.630, 0.259, 0.436)
Np (0.370, 0.741, 0.936)
Ag (0.837, 0.674, 0.750)
Ag (0.163, 0.326, 0.250)
Te (0.260, 0.521, 0.102)
Te (0.740, 0.479, 0.602)
Te (0.740, 0.479, 0.898)
Te (0.260, 0.521, 0.398)
Te (0.000, 0.000, 0.500)
Te (0.000, 0.000, 0.000)
Te (0.437, 0.874, 0.750)
Te (0.563, 0.126, 0.250)

---

(3)
CsNpAgTe3 | PBE-GGA | relaxed

Computed properties:
E_form (uncorrected) = -0.70 eV/atom

a b c (Å): 4.515 10.098 10.964
angles (deg): 112.28 90.00 90.00
Element x y z (fractional)
Cs (0.250, 0.219, 0.257)
Cs (0.750, 0.781, 0.743)
Np (0.250, 0.682, 0.155)
Np (0.750, 0.318, 0.845)
Ag (0.250, 0.079, 0.596)
Ag (0.750, 0.921, 0.404)
Te (0.750, 0.877, 0.133)
Te (0.250, 0.123, 0.867)
Te (0.250, 0.770, 0.449)
Te (0.750, 0.230, 0.551)
Te (0.750, 0.470, 0.148)
Te (0.250, 0.530, 0.852)

---

| no. | density of states at the Fermi level (states/eV/atom) |
| --- | --- |
| 1 | 1.334 |
| 2 | 2.469 |
| 3 | 1.521 |